Here is an optimized crystal structure of Pu2ThAs3 from Alexandria via LeMat-Bulk. Energies are from GGA-PBE.

Values from the calculation:
E_tot ... -111.0 eV/cell
Size of the total moment ... 10.83 μB per formula unit
Symmetry ... Pmc2_1, No. 26
Energy above the most stable polymorph in this dataset ... 150 kJ/mol of formula units
ΔH_f (0 K) ... -914 meV/atom

```
12
Lattice="-0.619 3.469 2.132 1.455 -3.766 6.550 8.958 2.085 -0.792" Properties=species:S:1:pos:R:3 pbc="T T T"
Pu 3.877 -3.008 6.019
Pu 4.482 2.429 1.327
Pu 7.126 -0.199 2.393
Pu 4.882 0.470 4.631
Th 9.549 -1.636 5.435
Th 1.417 -1.477 2.814
As 1.157 1.441 1.968
As 7.318 2.650 1.790
As 4.194 -0.428 1.914
As 8.359 1.065 4.671
As 2.358 -0.557 5.568
As 6.487 -1.947 5.051
```